1.
# SCAN SrTcSe2, PBEsol geometry
# M_tot	0.000	μB/atom
# energy relative to the elements, uncorrected	-0.419	eV/atom
# total DFT energy (no corrections)	-24.79	eV per atom
# N(E_F)	0.66	states/eV/atom
data_SrTcSe2
_cell_length_a 3.525
_cell_length_b 3.525
_cell_length_c 7.597
_cell_angle_alpha 90.00
_cell_angle_beta 90.00
_cell_angle_gamma 90.00
_space_group_name_H-M_alt 'P 4 m m'
_space_group_IT_number 99
_space_group_name_Hall 'P 4 -2'
loop_
_atom_site_label
_atom_site_fract_x
_atom_site_fract_y
_atom_site_fract_z
_atom_site_occupancy
Sr1 0.000 0.000 0.000 1
Tc1 0.500 0.500 0.488 1
Se1 0.000 0.000 0.390 1
Se2 0.500 0.500 0.806 1

---

2.
# SCAN SrTc2Se, PBEsol geometry
# M_tot	0.000	μB/atom
# energy relative to the elements, uncorrected	0.096	eV/atom
# total DFT energy (no corrections)	-28.02	eV per atom
# N(E_F)	0.97	states/eV/atom
data_SrTc2Se
_cell_length_a 3.163
_cell_length_b 3.163
_cell_length_c 7.538
_cell_angle_alpha 90.00
_cell_angle_beta 90.00
_cell_angle_gamma 90.00
_space_group_name_H-M_alt 'P 4 m m'
_space_group_IT_number 99
_space_group_name_Hall 'P 4 -2'
loop_
_atom_site_label
_atom_site_fract_x
_atom_site_fract_y
_atom_site_fract_z
_atom_site_occupancy
Sr1 0.000 0.000 0.000 1
Tc1 0.000 0.000 0.483 1
Tc2 0.500 0.500 0.313 1
Se1 0.500 0.500 0.694 1

---

3.
# SCAN Sr2TeSe, PBEsol geometry
# M_tot	0.000	μB/atom
# energy relative to the elements, uncorrected	-2.103	eV/atom
# total DFT energy (no corrections)	-27.57	eV per atom
# N(E_F)	0.00	states/eV/atom
data_Sr2TeSe
_cell_length_a 4.542
_cell_length_b 4.542
_cell_length_c 6.424
_cell_angle_alpha 90.00
_cell_angle_beta 90.00
_cell_angle_gamma 90.00
_space_group_name_H-M_alt 'P 4/m m m'
_space_group_IT_number 123
_space_group_name_Hall '-P 4 2'
loop_
_atom_site_label
_atom_site_fract_x
_atom_site_fract_y
_atom_site_fract_z
_atom_site_occupancy
Sr1 0.000 0.000 0.000 1
Sr2 0.500 0.500 0.500 1
Te1 0.000 0.000 0.500 1
Se1 0.500 0.500 0.000 1

---

4.
# SCAN Sr2TeSe, PBEsol geometry
# M_tot	0.000	μB/atom
# energy relative to the elements, uncorrected	-2.128	eV/atom
# total DFT energy (no corrections)	-27.60	eV per atom
# N(E_F)	0.00	states/eV/atom
data_Sr2TeSe
_cell_length_a 4.5214
_cell_length_b 4.5214
_cell_length_c 22.2602
_cell_angle_alpha 90.00
_cell_angle_beta 90.00
_cell_angle_gamma 120.00
_space_group_name_H-M_alt 'R -3 m'
_space_group_IT_number 166
_space_group_name_Hall '-R 3 2"'
loop_
_atom_site_label
_atom_site_fract_x
_atom_site_fract_y
_atom_site_fract_z
_atom_site_occupancy
Sr1 0.0000 0.0000 0.2449 1
Te1 0.0000 0.0000 0.0000 1
Se1 0.0000 0.0000 0.5000 1

---

5.
# SCAN Sr2TeSe, PBEsol geometry
# M_tot	0.000	μB/atom
# energy relative to the elements, uncorrected	-1.840	eV/atom
# total DFT energy (no corrections)	-27.31	eV per atom
data_Sr2TeSe
_cell_length_a 5.496
_cell_length_b 5.509
_cell_length_c 7.790
_cell_angle_alpha 90.00
_cell_angle_beta 90.00
_cell_angle_gamma 90.00
_space_group_name_H-M_alt 'C m m m'
_space_group_IT_number 65
_space_group_name_Hall '-C 2 2'
loop_
_atom_site_label
_atom_site_fract_x
_atom_site_fract_y
_atom_site_fract_z
_atom_site_occupancy
Sr1 0.000 0.000 0.239 1
Te1 0.000 0.500 0.500 1
Se1 0.000 0.500 0.000 1

---

6.
# SCAN Sr4TeSe, PBEsol geometry
# M_tot	0.000	μB/atom
# energy relative to the elements, uncorrected	-0.187	eV/atom
# total DFT energy (no corrections)	-24.59	eV per atom
# N(E_F)	0.72	states/eV/atom
data_Sr4TeSe
_cell_length_a 9.510
_cell_length_b 9.510
_cell_length_c 9.510
_cell_angle_alpha 90.00
_cell_angle_beta 90.00
_cell_angle_gamma 90.00
_space_group_name_H-M_alt 'F -4 3 m'
_space_group_IT_number 216
_space_group_name_Hall 'F -4 2 3'
loop_
_atom_site_label
_atom_site_fract_x
_atom_site_fract_y
_atom_site_fract_z
_atom_site_occupancy
Sr1 0.125 0.125 0.125 1
Te1 0.250 0.250 0.750 1
Se1 0.000 0.000 0.500 1